[1]
Below is a relaxed LiMg3Pt crystal, with properties calculated at the PBE-GGA level.

a = 3.0927 Å, b = 7.1557 Å, c = 8.7328 Å
α = 102.41°, β = 100.08°, γ = 90.05°
Closest atoms and distances in Å follow each position.
Atoms (fractional coordinates):
Li (0.2079, 0.3509, 0.4155)  4 Li 2.77-3.09, 6 Mg 2.94-3.03
Li (0.7921, 0.6491, 0.5845)  4 Li 2.77-3.09, 6 Mg 2.94-3.03
Mg (0.1883, 0.8473, 0.3781)  1 Pt 2.83, 2 Li 2.94-2.95, 8 Mg 3.09-3.11
Mg (0.4155, 0.4912, 0.8299)  4 Pt 2.78-2.81, 6 Mg 2.90-3.09, 2 Li 3.02-3.03
Mg (0.4159, 0.9212, 0.8305)  4 Pt 2.77-2.81, 4 Mg 2.89-3.09, 2 Li 2.97-2.98
Mg (0.5841, 0.0788, 0.1695)  4 Pt 2.77-2.81, 4 Mg 2.89-3.09, 2 Li 2.97-2.98
Mg (0.5845, 0.5088, 0.1701)  4 Pt 2.78-2.81, 6 Mg 2.90-3.09, 2 Li 3.02-3.03
Mg (0.8117, 0.1527, 0.6219)  1 Pt 2.83, 2 Li 2.94-2.95, 8 Mg 3.09-3.11
Pt (0.0203, 0.7611, 0.0409)  9 Mg 2.77-2.83, 2 Pt 3.09
Pt (0.9797, 0.2389, 0.9591)  9 Mg 2.77-2.83, 2 Pt 3.09

Results
Its crystal system is triclinic. The energy relative to the elements is -0.40 eV/atom. As for the energy above the most stable polymorph in this dataset: 0.102 eV/atom. Its total moment is 0.000 μB per cell.

[2]
Below is a relaxed Sm2Cd16Hg crystal, with properties calculated at the PBE-GGA level.

a = 7.6682 Å, b = 7.6682 Å, c = 7.6682 Å
α = 82.32°, β = 82.32°, γ = 82.32°
Closest atoms and distances in Å follow each position.
Atoms (fractional coordinates):
Sm (0.0000, 0.0000, 0.0000)  1 Hg 3.26, 9 Cd 3.53-3.57
Sm (0.3421, 0.3421, 0.3421)  16 Cd 3.50-3.74
Cd (0.0321, 0.0321, 0.5091)  6 Cd 2.83-3.03
Cd (0.0321, 0.5091, 0.0321)  6 Cd 2.83-3.03
Cd (0.1777, 0.6659, 0.6659)  9 Cd 2.93-3.05, 1 Hg 3.09
Cd (0.3095, 0.3095, 0.8357)  6 Cd 2.83-2.98
Cd (0.3095, 0.8357, 0.3095)  6 Cd 2.83-2.98
Cd (0.3694, 0.6717, 0.9718)  8 Cd 2.93-3.20
Cd (0.3694, 0.9718, 0.6717)  8 Cd 2.93-3.20
Cd (0.5091, 0.0321, 0.0321)  6 Cd 2.83-3.03
Cd (0.5762, 0.5762, 0.5762)  12 Cd 3.05-3.36, 1 Hg 3.08
Cd (0.6659, 0.1777, 0.6659)  9 Cd 2.93-3.05, 1 Hg 3.09
Cd (0.6659, 0.6659, 0.1777)  9 Cd 2.93-3.05, 1 Hg 3.09
Cd (0.6717, 0.3694, 0.9718)  8 Cd 2.93-3.20
Cd (0.6717, 0.9718, 0.3694)  8 Cd 2.93-3.20
Cd (0.8357, 0.3095, 0.3095)  6 Cd 2.83-2.98
Cd (0.9718, 0.3694, 0.6717)  8 Cd 2.93-3.20
Cd (0.9718, 0.6717, 0.3694)  8 Cd 2.93-3.20
Hg (0.7822, 0.7822, 0.7822)  7 Cd 3.08-3.25, 1 Sm 3.26

Results
Its crystal system is trigonal. The energy relative to the elements is -0.13 eV/atom. Its total moment is 0.000 μB per cell.

[3]
Below is a relaxed Na10B13C7 crystal, with properties calculated at the PBE-GGA level.

a = 8.5347 Å, b = 12.7804 Å, c = 12.7804 Å
α = 12.69°, β = 90.00°, γ = 90.00°
Closest atoms and distances in Å follow each position.
Atoms (fractional coordinates):
Na (0.2427, 0.0000, 0.0000)  9 B 2.65-2.81, 3 C 2.74-2.78, 6 Na 2.82-2.94
Na (0.2481, 0.3984, 0.3984)  10 B 2.64-2.93, 2 C 2.71, 6 Na 2.82-2.94
Na (0.2480, 0.5999, 0.5999)  6 B 2.63-2.70, 6 C 2.65-2.73, 6 Na 2.82-2.90
Na (0.2488, 0.1987, 0.1987)  6 B 2.62-2.72, 6 C 2.66-2.73, 6 Na 2.82-2.89
Na (0.2495, 0.7980, 0.7980)  8 B 2.66-2.79, 4 C 2.68-2.80, 6 Na 2.82-2.92
Na (0.7505, 0.7980, 0.7980)  8 B 2.66-2.79, 4 C 2.68-2.80, 6 Na 2.82-2.92
Na (0.7512, 0.1987, 0.1987)  6 B 2.62-2.72, 6 C 2.66-2.73, 6 Na 2.82-2.89
Na (0.7519, 0.3984, 0.3984)  10 B 2.64-2.93, 2 C 2.71, 6 Na 2.82-2.94
Na (0.7520, 0.5999, 0.5999)  6 B 2.63-2.70, 6 C 2.65-2.73, 6 Na 2.82-2.90
Na (0.7573, 0.0000, 0.0000)  9 B 2.65-2.81, 3 C 2.74-2.78, 6 Na 2.82-2.94
B (0.0000, 0.1356, 0.1356)  3 C 1.63-1.66
B (0.0000, 0.3296, 0.3296)  3 C 1.63-1.65
B (0.0000, 0.4666, 0.4666)  3 B 1.75-1.82
B (0.0000, 0.5383, 0.5383)  2 C 1.63, 1 B 1.82
B (0.0000, 0.7327, 0.7327)  3 C 1.63-1.65
B (0.0000, 0.9257, 0.9257)  1 C 1.62, 2 B 1.75
B (0.5000, 0.0693, 0.0693)  3 C 1.59-1.63
B (0.5000, 0.2577, 0.2577)  2 C 1.62, 1 B 1.73
B (0.5000, 0.3258, 0.3258)  3 B 1.73-1.78
B (0.5000, 0.4768, 0.4768)  1 C 1.54
B (0.5000, 0.6632, 0.6632)  3 C 1.61-1.62
B (0.5000, 0.8683, 0.8683)  3 B 1.66-1.78
B (0.5000, 0.9338, 0.9338)  3 B 1.66-1.79
C (0.0000, 0.0705, 0.0705)  3 B 1.63-1.66
C (0.0000, 0.2647, 0.2647)  3 B 1.63-1.65
C (0.0000, 0.6676, 0.6676)  3 B 1.63-1.65
C (0.0000, 0.8619, 0.8619)  3 B 1.62-1.63
C (0.5000, 0.1320, 0.1320)  3 B 1.59-1.62
C (0.5000, 0.5375, 0.5375)  3 B 1.54-1.63
C (0.5000, 0.7266, 0.7266)  3 B 1.61-1.62

Results
Its crystal system is orthorhombic. The energy relative to the elements is 0.09 eV/atom. As for the energy above the most stable polymorph in this dataset: 0.009 eV/atom. Its total moment is 0.013 μB per cell.

[4]
Below is a relaxed Hf5TiPb2 crystal, with properties calculated at the PBE-GGA level.

a = 7.3031 Å, b = 7.3031 Å, c = 12.2506 Å
α = 90.00°, β = 90.00°, γ = 140.33°
Closest atoms and distances in Å follow each position.
Atoms (fractional coordinates):
Hf (0.1106, 0.8894, 0.6271)  1 Ti 2.95, 2 Pb 3.00-3.08, 6 Hf 3.01-3.15
Hf (0.1106, 0.8894, 0.8729)  1 Ti 2.95, 2 Pb 3.00-3.08, 6 Hf 3.01-3.15
Hf (0.3081, 0.6919, 0.5036)  6 Hf 2.95-3.15, 1 Ti 3.02, 3 Pb 3.11-3.17
Hf (0.3081, 0.6919, 0.9964)  6 Hf 2.95-3.15, 1 Ti 3.02, 3 Pb 3.11-3.17
Hf (0.3154, 0.6846, 0.2500)  2 Ti 2.91, 6 Hf 3.07-3.11, 2 Pb 3.25
Hf (0.6846, 0.3154, 0.7500)  2 Ti 2.91, 6 Hf 3.07-3.11, 2 Pb 3.25
Hf (0.6919, 0.3081, 0.0036)  6 Hf 2.95-3.15, 1 Ti 3.02, 3 Pb 3.11-3.17
Hf (0.6919, 0.3081, 0.4964)  6 Hf 2.95-3.15, 1 Ti 3.02, 3 Pb 3.11-3.17
Hf (0.8894, 0.1106, 0.1271)  1 Ti 2.95, 2 Pb 3.00-3.08, 6 Hf 3.01-3.15
Hf (0.8894, 0.1106, 0.3729)  1 Ti 2.95, 2 Pb 3.00-3.08, 6 Hf 3.01-3.15
Ti (0.2952, 0.7048, 0.7500)  6 Hf 2.91-3.02, 4 Pb 3.21
Ti (0.7048, 0.2952, 0.2500)  6 Hf 2.91-3.02, 4 Pb 3.21
Pb (0.1075, 0.8925, 0.1240)  6 Hf 3.00-3.25, 1 Pb 3.09, 2 Ti 3.21
Pb (0.1075, 0.8925, 0.3760)  6 Hf 3.00-3.25, 1 Pb 3.09, 2 Ti 3.21
Pb (0.8925, 0.1075, 0.6240)  6 Hf 3.00-3.25, 1 Pb 3.09, 2 Ti 3.21
Pb (0.8925, 0.1075, 0.8760)  6 Hf 3.00-3.25, 1 Pb 3.09, 2 Ti 3.21

Results
Its crystal system is orthorhombic. The energy relative to the elements is 0.33 eV/atom. Its total moment is 0.305 μB per cell.

[5]
Below is a relaxed SrTl2Te2 crystal, with properties calculated at the PBE-GGA level.

a = 9.3009 Å, b = 9.3009 Å, c = 9.3009 Å
α = 152.00°, β = 152.00°, γ = 40.02°
Closest atoms and distances in Å follow each position.
Atoms (fractional coordinates):
Sr (0.0000, 0.0000, 0.0000)  8 Te 3.58
Tl (0.2500, 0.7500, 0.5000)  4 Tl 3.18, 4 Te 3.53
Tl (0.7500, 0.2500, 0.5000)  4 Tl 3.18, 4 Te 3.53
Te (0.4057, 0.4057, 0.0000)  1 Te 3.30, 4 Tl 3.53, 4 Sr 3.58
Te (0.5943, 0.5943, 0.0000)  1 Te 3.30, 4 Tl 3.53, 4 Sr 3.58

Results
Its crystal system is tetragonal. As for the energy above the most stable polymorph in this dataset: 0.212 eV/atom. As for the energy relative to the elements, uncorrected: -0.6535 eV/atom. Its total moment is 0.000 μB per cell.

[6]
Below is a relaxed LaTc3 crystal, with properties calculated at the PBE-GGA level.

a = 4.7836 Å, b = 4.7836 Å, c = 4.7836 Å
α = 90.00°, β = 90.00°, γ = 90.00°
Closest atoms and distances in Å follow each position.
Atoms (fractional coordinates):
La (0.0000, 0.0000, 0.0000)  6 Tc 2.39
Tc (0.0000, 0.0000, 0.5000)  2 La 2.39
Tc (0.0000, 0.5000, 0.0000)  2 La 2.39
Tc (0.5000, 0.0000, 0.0000)  2 La 2.39

Results
Its crystal system is cubic. The energy relative to the elements is 3.00 eV/atom. Its total moment is 3.247 μB per cell.